Material: Pm2Cu3Au2
Method: DFT, PBE
State: optimized geometry

E_tot ... -4.48 eV per atom
Energy of formation from the pure elements ... -0.43 eV per atom
Total magnetization ... 0.00 μB per cell

Cell: 4.4425 5.5388 6.5559 Å, 107.36 90.00 113.64°
Closest atoms and distances in Å follow each position.
Element x y z (fractional)
Cu1 0.5000 0.0000 0.0000  2 Cu 2.55, 4 Au 2.81
Cu2 0.4083 0.8166 0.5881  2 Cu 2.49-2.55, 2 Au 2.68
Cu3 0.5917 0.1834 0.4119  2 Cu 2.49-2.55, 2 Au 2.68
Pm1 0.1473 0.2946 0.7508  4 Au 3.02-3.11, 5 Cu 3.06-3.20
Pm2 0.8527 0.7054 0.2492  4 Au 3.02-3.11, 5 Cu 3.06-3.20
Au1 0.8530 0.7060 0.7750  5 Cu 2.68-2.93
Au2 0.1470 0.2940 0.2250  5 Cu 2.68-2.93

Material: Pm3CuAu4
Method: DFT, PBE
State: optimized geometry

E_tot ... -4.51 eV per atom
Energy of formation from the pure elements ... -0.58 eV per atom
Total magnetization ... 0.00 μB per cell

Cell: 4.2113 7.1440 7.8933 Å, 116.91 105.47 90.00°
Closest atoms and distances in Å follow each position.
Element x y z (fractional)
Au1 0.6242 0.4193 0.2484  1 Cu 2.69, 1 Au 2.93
Au2 0.6242 0.8291 0.2484  1 Cu 2.69, 1 Au 2.93
Au3 0.3758 0.1709 0.7516  1 Cu 2.69, 1 Au 2.93
Au4 0.3758 0.5807 0.7516  1 Cu 2.69, 1 Au 2.93
Cu1 0.5000 0.0000 0.0000  4 Au 2.69
Pm1 0.0000 0.5000 0.0000  8 Au 3.06
Pm2 0.8226 0.8226 0.6452  6 Au 3.04-3.06, 2 Cu 3.18
Pm3 0.1774 0.1774 0.3548  6 Au 3.04-3.06, 2 Cu 3.18

Material: Pm5Cu4Au
Method: DFT, PBE
State: optimized geometry

E_tot ... -4.63 eV per atom
Energy of formation from the pure elements ... -0.29 eV per atom
Total magnetization ... 0.00 μB per cell

Cell: 3.5824 3.5824 18.1159 Å, 90.00 90.00 90.00°
Closest atoms and distances in Å follow each position.
Element x y z (fractional)
Cu1 0.0000 0.0000 0.7941  8 Pm 3.08-3.13
Cu2 0.0000 0.0000 0.4008  8 Pm 3.10-3.11
Cu3 0.0000 0.0000 0.5992  8 Pm 3.10-3.11
Cu4 0.0000 0.0000 0.2059  8 Pm 3.08-3.13
Pm1 0.5000 0.5000 0.8951  4 Cu 3.13, 4 Au 3.17
Pm2 0.5000 0.5000 0.3026  8 Cu 3.08-3.10
Pm3 0.5000 0.5000 0.6974  8 Cu 3.08-3.10
Pm4 0.5000 0.5000 0.1049  4 Cu 3.13, 4 Au 3.17
Pm5 0.5000 0.5000 0.5000  8 Cu 3.11
Au1 0.0000 0.0000 0.0000  8 Pm 3.17

Material: Pm8Cu2Au
Method: DFT, PBE
State: optimized geometry

E_tot ... -4.68 eV per atom
Energy of formation from the pure elements ... -0.18 eV per atom
Total magnetization ... 0.00 μB per cell

Cell: 5.1977 6.9343 9.4808 Å, 106.56 105.91 90.00°
Closest atoms and distances in Å follow each position.
Element x y z (fractional)
Au1 0.5000 0.0000 0.0000  8 Pm 3.14-3.18
Pm1 0.8009 0.6568 0.6018  1 Cu 2.84
Pm2 0.4075 0.5333 0.8149  1 Au 3.18, 2 Cu 3.30, 6 Pm 3.50-3.54
Pm3 0.0300 0.7803 0.0601  1 Cu 2.82, 2 Au 3.14
Pm4 0.9700 0.2197 0.9399  1 Cu 2.82, 2 Au 3.14
Pm5 0.5925 0.4667 0.1851  1 Au 3.18, 2 Cu 3.30, 6 Pm 3.50-3.54
Pm6 0.3270 0.0044 0.6540  1 Cu 2.80
Pm7 0.6730 0.9956 0.3460  1 Cu 2.80
Pm8 0.1991 0.3432 0.3982  1 Cu 2.84
Cu1 0.8216 0.2663 0.6432  3 Pm 2.80-2.84
Cu2 0.1784 0.7337 0.3568  3 Pm 2.80-2.84

Material: PmCuAu
Method: DFT, PBE
State: optimized geometry

E_tot ... -4.24 eV per atom
Polymorph energy (0 for the lowest one) ... 339.9 meV per atom
Energy of formation from the pure elements ... -0.20 eV per atom
Total magnetization ... 0.00 μB per cell

Cell: 11.3432 11.3432 3.5845 Å, 90.00 90.00 163.62°
Closest atoms and distances in Å follow each position.
Element x y z (fractional)
Au1 0.8387 0.1613 0.2500  5 Cu 2.62-2.77
Au2 0.1613 0.8387 0.7500  5 Cu 2.62-2.77
Pm1 0.5762 0.4238 0.2500  4 Au 3.08, 2 Pm 3.23, 1 Cu 3.28
Pm2 0.4238 0.5762 0.7500  4 Au 3.08, 2 Pm 3.23, 1 Cu 3.28
Cu1 0.7221 0.2779 0.2500  5 Au 2.62-2.77, 4 Cu 2.72
Cu2 0.2779 0.7221 0.7500  5 Au 2.62-2.77, 4 Cu 2.72

Material: Pm12CuAu6
Method: DFT, PBE
State: optimized geometry

E_tot ... -4.62 eV per atom
Energy of formation from the pure elements ... -0.37 eV per atom
Total magnetization ... 0.00 μB per cell

Cell: 8.5933 8.5933 8.5933 Å, 99.39 99.39 99.39°
Closest atoms and distances in Å follow each position.
Element x y z (fractional)
Cu1 0.0000 0.0000 0.0000  6 Pm 2.81
Pm1 0.3188 0.0677 0.9548  1 Cu 2.81, 2 Au 2.99-3.05
Pm2 0.0452 0.6812 0.9323  1 Cu 2.81, 2 Au 2.99-3.05
Pm3 0.6812 0.9323 0.0452  1 Cu 2.81, 2 Au 2.99-3.05
Pm4 0.5786 0.1804 0.4251  4 Au 2.94-3.13
Pm5 0.8196 0.5749 0.4214  4 Au 2.94-3.13
Pm6 0.5749 0.4214 0.8196  4 Au 2.94-3.13
Pm7 0.9548 0.3188 0.0677  1 Cu 2.81, 2 Au 2.99-3.05
Pm8 0.4214 0.8196 0.5749  4 Au 2.94-3.13
Pm9 0.0677 0.9548 0.3188  1 Cu 2.81, 2 Au 2.99-3.05
Pm10 0.9323 0.0452 0.6812  1 Cu 2.81, 2 Au 2.99-3.05
Pm11 0.1804 0.4251 0.5786  4 Au 2.94-3.13
Pm12 0.4251 0.5786 0.1804  4 Au 2.94-3.13
Au1 0.1340 0.6224 0.3057  6 Pm 2.94-3.13
Au2 0.3057 0.1340 0.6224  6 Pm 2.94-3.13
Au3 0.3776 0.6943 0.8660  6 Pm 2.94-3.13
Au4 0.6224 0.3057 0.1340  6 Pm 2.94-3.13
Au5 0.8660 0.3776 0.6943  6 Pm 2.94-3.13
Au6 0.6943 0.8660 0.3776  6 Pm 2.94-3.13

Q: Which of these has the highest energy of formation from the pure elements?
A: Pm8Cu2Au